Entry 1:
Below is an optimized crystal structure of KVCo2Cl8, with properties calculated at the GGA-PBE level.

Lattice parameters (Å, degrees): 6.2073 6.2073 28.5343 90.00 90.00 120.00
Space group R-3 (No. 148, hexagonal axes)
Asymmetric unit:
1 K 0.0000 0.0000 0.0000
2 V 0.0000 0.0000 0.5000
3 Co 0.0000 0.0000 0.2391
4 Cl 0.0000 0.0000 0.3160
5 Cl 0.0089 0.3176 0.5492

Entry 2:
Below is an optimized crystal structure of KVCoCl6, with properties calculated at the GGA-PBE level.

Lattice parameters (Å, degrees): 6.321 10.943 7.020 90.00 90.36 90.00
Space group C2 (No. 5)
Asymmetric unit:
1 K 0.000 0.000 0.000
2 V 0.000 0.334 0.500
3 Co 0.000 0.668 0.500
4 Cl 0.123 0.497 0.698
5 Cl 0.182 0.188 0.695
6 Cl 0.191 0.816 0.694

Entry 3:
Below is an optimized crystal structure of KZnCoCl6, with properties calculated at the GGA-PBE level.

Lattice parameters (Å, degrees): 6.2206 6.2206 7.0232 90.00 90.00 120.00
Space group P312 (No. 149)
Asymmetric unit:
1 K 0.0000 0.0000 0.0000
2 Zn 0.6667 0.3333 0.5000
3 Co 0.3333 0.6667 0.5000
4 Cl 0.0254 0.3820 0.6876

Entry 4:
Below is an optimized crystal structure of KZnCo2Cl8, with properties calculated at the GGA-PBE level.

Lattice parameters (Å, degrees): 6.2732 6.2732 27.8344 90.00 90.00 120.00
Space group R-3 (No. 148, hexagonal axes)
Asymmetric unit:
1 K 0.0000 0.0000 0.0000
2 Zn 0.0000 0.0000 0.5000
3 Co 0.0000 0.0000 0.2426
4 Cl 0.0000 0.0000 0.3211
5 Cl 0.0010 0.6791 0.5529

Entry 5:
Below is an optimized crystal structure of La6Co3Cl2, with properties calculated at the GGA-PBE level.

Lattice parameters (Å, degrees): 7.018 12.190 7.768 90.00 107.43 90.00
Space group C2/m (No. 12)
Asymmetric unit:
1 La 0.235 0.000 0.202
2 La 0.236 0.334 0.204
3 Co 0.000 0.172 0.000
4 Co 0.000 0.500 0.000
5 Cl 0.000 0.334 0.500

Entry 6:
Below is an optimized crystal structure of La2CoCl, with properties calculated at the GGA-PBE level.

Lattice parameters (Å, degrees): 3.989 3.989 12.094 90.00 90.00 90.00
Space group I-4m2 (No. 119)
Asymmetric unit:
1 La 0.000 0.000 0.000
2 La 0.000 0.500 0.250
3 Co 0.000 0.000 0.500
4 Cl 0.000 0.500 0.750

Output
Excess energy over the best structure of this formula in the dataset = 42.21 kJ per mole of atoms

Entry 7:
Below is an optimized crystal structure of LaCo2Cl, with properties calculated at the GGA-PBE level.

Lattice parameters (Å, degrees): 6.459 6.459 6.459 90.00 90.00 90.00
Space group Fm-3m (No. 225)
Asymmetric unit:
1 La 0.000 0.000 0.000
2 Co 0.250 0.250 0.250
3 Cl 0.000 0.000 0.500

Output
Excess energy over the best structure of this formula in the dataset = 84.55 kJ per mole of atoms

Entry 8:
Below is an optimized crystal structure of La6Co3Cl, with properties calculated at the GGA-PBE level.

Lattice parameters (Å, degrees): 4.077 11.869 12.598 110.38 94.91 92.71
Space group P-1 (No. 2)
Asymmetric unit:
1 La 0.195 0.272 0.237
2 La 0.242 0.760 0.200
3 La 0.247 0.581 0.428
4 La 0.271 0.096 0.951
5 La 0.280 0.545 0.894
6 La 0.295 0.929 0.645
7 Co 0.239 0.329 0.959
8 Co 0.242 0.009 0.205
9 Co 0.284 0.584 0.660
10 Cl 0.295 0.154 0.568

Entry 9:
Below is an optimized crystal structure of LaCo2Cl, with properties calculated at the GGA-PBE level.

Lattice parameters (Å, degrees): 3.372 3.372 7.849 90.00 90.00 90.00
Space group P4mm (No. 99)
Asymmetric unit:
1 La 0.000 0.000 0.000
2 Co 0.000 0.000 0.673
3 Co 0.500 0.500 0.724
4 Cl 0.500 0.500 0.222

Output
Excess energy over the best structure of this formula in the dataset = 11.15 kJ per mole of atoms

Entry 10:
Below is an optimized crystal structure of LaCo2Cl, with properties calculated at the GGA-PBE level.

Lattice parameters (Å, degrees): 3.750 5.400 7.640 90.00 90.00 90.00
Space group Imm2 (No. 44)
Asymmetric unit:
1 La 0.000 0.000 0.000
2 Co 0.000 0.000 0.526
3 Co 0.000 0.500 0.181
4 Cl 0.000 0.500 0.814

Output
Excess energy over the best structure of this formula in the dataset = 25.98 kJ per mole of atoms

Entry 11:
Below is an optimized crystal structure of La2CoCl, with properties calculated at the GGA-PBE level.

Lattice parameters (Å, degrees): 4.079 4.146 5.882 90.00 90.00 90.00
Space group Pmmm (No. 47)
Asymmetric unit:
1 La 0.000 0.000 0.000
2 La 0.500 0.500 0.500
3 Co 0.000 0.000 0.500
4 Cl 0.500 0.500 0.000

Output
Excess energy over the best structure of this formula in the dataset = 12.28 kJ per mole of atoms

Entry 12:
Below is an optimized crystal structure of La2CoCl2, with properties calculated at the GGA-PBE level.

Lattice parameters (Å, degrees): 4.054 4.055 10.753 92.83 98.03 119.62
Space group P-1 (No. 2)
Asymmetric unit:
1 La 0.224 0.118 0.344
2 Co 0.000 0.500 0.500
3 Cl 0.216 0.613 0.829

| no. | formation energy from raw total energies (eV per atom) | total magnetization (μB per cell) |
| --- | --- | --- |
| 1 | -0.9683 | 23.4 |
| 2 | -1.1592 | 9.8 |
| 3 | -1.0441 | 0.1 |
| 4 | -0.8883 | 21.0 |
| 5 | -0.6825 | 0.0 |
| 6 | -0.4988 | 0.0 |
| 7 | 0.4904 | 1.6 |
| 8 | -0.3913 | 0.0 |
| 9 | -0.2704 | 2.6 |
| 10 | -0.1167 | 4.0 |
| 11 | -0.8090 | 0.0 |
| 12 | -1.2038 | 0.0 |